(1)
BaAlCu2Pb: relaxed, GGA-PBE.

Results
Formation energy from the elements = 0.69 eV/atom

Structure (extended XYZ):
```
5
Lattice="5.060 0.000 0.000 0.000 6.586 0.000 0.000 0.000 5.060" Properties=species:S:1:pos:R:3 pbc="T T T"
Al 2.530 3.293 2.530
Cu 0.000 0.000 2.530
Cu 2.530 0.000 0.000
Ba 0.000 3.293 0.000
Pb 0.000 0.000 0.000
```

***

(2)
Li2TlCl3: relaxed, GGA-PBE.

Results
Energy relative to the lowest polymorph listed for this composition = 0 meV per atom
Energy relative to the elements, uncorrected = -1.526 eV/atom

Structure (extended XYZ):
```
12
Lattice="3.979 0.000 -0.809 -0.333 6.965 -1.637 0.392 -1.564 12.110" Properties=species:S:1:pos:R:3 pbc="T T T"
Cl 1.693 3.079 8.323
Cl 4.084 -0.512 9.892
Cl 2.344 2.322 1.341
Cl 0.988 1.166 4.859
Cl 3.049 4.235 4.805
Cl -0.046 5.912 -0.228
Li 2.810 2.152 3.631
Li 3.849 4.086 8.737
Li 0.188 1.314 0.926
Li 1.227 3.248 6.033
Tl 1.665 -0.070 8.183
Tl 2.373 5.470 1.480
```

***

Across the entries above, V takes the values 168.6; 327.2 Å³/cell, respectively.